HfNiIrO6 | PBE+U | optimized geometry

Unit cell a=5.2000 b=5.2000 c=8.8659 alpha=90.00 beta=90.00 gamma=120.00
Space group P-31c (No. 163)
Asymmetric unit:
Hf: 0.3333 0.6667 0.2500
Ni: 0.0000 0.0000 0.0000
Ir: 0.3333 0.6667 0.7500
O: 0.0167 0.3521 0.6280

final energy = -7.24 eV/atom